Entry 1:
# LaCu2Cl8

An optimized crystal structure of LaCu2Cl8 (PBE-GGA, Alexandria via LeMat-Bulk).

Results
* ΔE_f (raw): -1.06 eV per atom
* size of the total moment: 0.6 μB per formula unit
* uncorrected energy: -0.1322 hartree per atom

```
LaCu2Cl8
1.0
6.833 0.000 0.000
0.000 6.833 0.000
-3.416 -3.416 6.022
Cl Cu La
8 2 1
Direct
0.289 0.455 0.241 Cl
0.455 0.952 0.241 Cl
0.545 0.711 0.759 Cl
0.787 0.289 0.241 Cl
0.048 0.545 0.759 Cl
0.213 0.048 0.759 Cl
0.952 0.787 0.241 Cl
0.711 0.213 0.759 Cl
0.750 0.250 0.500 Cu
0.250 0.750 0.500 Cu
0.500 0.500 0.000 La
```

***

Entry 2:
# Ca2H6RhAu

An optimized crystal structure of Ca2H6RhAu (PBE-GGA, Alexandria via LeMat-Bulk).

Results
* size of the total moment: 0.0 μB per formula unit
* uncorrected energy: -0.1453 hartree per atom

```
Ca2H6RhAu
1.0
5.347 0.004 -0.002
0.004 5.347 -0.002
-2.676 -2.676 3.744
Ca H Rh Au
2 6 1 1
Direct
0.750 0.250 0.500 Ca
0.250 0.750 0.500 Ca
0.230 0.230 0.000 H
0.232 0.232 0.463 H
0.768 0.769 0.536 H
0.230 0.771 0.000 H
0.770 0.771 0.999 H
0.770 0.230 0.000 H
0.000 0.000 0.000 Rh
0.500 0.500 0.000 Au
```

***

Entry 3:
# TiMnOs3

An optimized crystal structure of TiMnOs3 (PBE-GGA, Alexandria via LeMat-Bulk).

Results
* energy above the most stable polymorph in this dataset: 0 meV per atom
* size of the total moment: 0.0 μB per formula unit
* uncorrected energy: -0.3264 hartree per atom
* formation enthalpy at 0 K: 1.268 eV per atom

```
TiMnOs3
1.0
4.401 0.000 0.000
0.000 4.401 0.000
0.000 0.000 4.401
Mn Ti Os
1 1 3
Direct
0.000 0.000 0.000 Mn
0.500 0.500 0.500 Ti
0.000 0.500 0.000 Os
0.500 0.000 0.000 Os
0.000 0.000 0.500 Os
```